#a
A geometry-optimized TbNdYEr structure. Source: the Alexandria database, functional GGA-PBE.

Cell lengths 3.5992, 3.5992, 34.8085 Å; angles 90.00, 90.00, 120.00 degrees
Space group R3m (No. 160, hexagonal axes)
Asymmetric unit:
Tb (0.0000, 0.0000, 0.0000)
Nd (0.0000, 0.0000, 0.7512)
Y (0.0000, 0.0000, 0.1702)
Er (0.0000, 0.0000, 0.5854)

---

#b
A geometry-optimized TbNdYEr structure. Source: the Alexandria database, functional GGA-PBE.

Cell lengths 8.0754, 8.0754, 8.0754 Å; angles 90.00, 90.00, 90.00 degrees
Space group F-43m (No. 216)
Asymmetric unit:
Tb (0.0000, 0.0000, 0.0000)
Nd (0.2500, 0.2500, 0.7500)
Y (0.2500, 0.2500, 0.2500)
Er (0.0000, 0.0000, 0.5000)

---

Which of them is the most stable, and which is the least stable? #a and #b, in that order.

---

#a
A geometry-optimized TbNdErZn structure. Source: the Alexandria database, functional GGA-PBE.

Cell lengths 3.5830, 3.5830, 8.7079 Å; angles 90.00, 90.00, 90.00 degrees
Space group P4mm (No. 99)
Asymmetric unit:
Tb (0.0000, 0.0000, 0.0000)
Nd (0.5000, 0.5000, 0.3000)
Er (0.0000, 0.0000, 0.5958)
Zn (0.5000, 0.5000, 0.7925)

---

#b
A geometry-optimized TbNdErZn structure. Source: the Alexandria database, functional GGA-PBE.

Cell lengths 7.6126, 7.6126, 7.6126 Å; angles 90.00, 90.00, 90.00 degrees
Space group F-43m (No. 216)
Asymmetric unit:
Tb (0.0000, 0.0000, 0.0000)
Nd (0.0000, 0.0000, 0.5000)
Er (0.2500, 0.2500, 0.7500)
Zn (0.2500, 0.2500, 0.2500)

---

Which of them is the most stable, and which is the least stable? #a and #b, in that order.